(1)
# GGA-PBE Na2LiNd, relaxed
# Total DFT energy (no corrections), eV/cell: -25.67
# Theoretical density, kg/m³: 2535
# E_form, meV/atom: 190
# V, Å³/cell: 387
data_Na2LiNd
_chemical_formula_sum 'Na6 Li3 Nd3'
_space_group_name_H-M_alt 'R -3 m'
_space_group_IT_number 166
_space_group_name_Hall '-R 3 2"'
_cell_length_a 3.4528
_cell_length_b 3.4528
_cell_length_c 37.5257
_cell_angle_alpha 90.00
_cell_angle_beta 90.00
_cell_angle_gamma 120.00
loop_
_atom_site_label
_atom_site_type_symbol
_atom_site_fract_x
_atom_site_fract_y
_atom_site_fract_z
Na1 Na 0.0000 0.0000 0.0919
Li1 Li 0.0000 0.0000 0.5000
Nd1 Nd 0.0000 0.0000 0.0000

(2)
# GGA-PBE NaLiNdPb, relaxed
# Total DFT energy (no corrections), eV/cell: -50.35
# Theoretical density, kg/m³: 5790
# E_form, meV/atom: -220
# V, Å³/cell: 438
data_NaLiNdPb
_chemical_formula_sum 'Na4 Li4 Nd4 Pb4'
_space_group_name_H-M_alt 'F -4 3 m'
_space_group_IT_number 216
_space_group_name_Hall 'F -4 2 3'
_cell_length_a 7.592
_cell_length_b 7.592
_cell_length_c 7.592
_cell_angle_alpha 90.00
_cell_angle_beta 90.00
_cell_angle_gamma 90.00
loop_
_atom_site_label
_atom_site_type_symbol
_atom_site_fract_x
_atom_site_fract_y
_atom_site_fract_z
Na1 Na 0.000 0.000 0.000
Li1 Li 0.250 0.250 0.250
Nd1 Nd 0.000 0.000 0.500
Pb1 Pb 0.250 0.250 0.750

(3)
# GGA-PBE NaLi2NdSb2, relaxed
# Uncorrected formation energy, meV per atom: -791
# Total DFT energy (no corrections), eV/cell: -22.91
# Theoretical density, kg/m³: 4894
# V, Å³/cell: 144
data_NaLi2NdSb2
_chemical_formula_sum 'Na1 Li2 Nd1 Sb2'
_space_group_name_H-M_alt 'P -3 m 1'
_space_group_IT_number 164
_space_group_name_Hall '-P 3 2"'
_cell_length_a 4.7009
_cell_length_b 4.7009
_cell_length_c 7.5282
_cell_angle_alpha 90.00
_cell_angle_beta 90.00
_cell_angle_gamma 120.00
loop_
_atom_site_label
_atom_site_type_symbol
_atom_site_fract_x
_atom_site_fract_y
_atom_site_fract_z
Na1 Na 0.0000 0.0000 0.0000
Li1 Li 0.3333 0.6667 0.1620
Nd1 Nd 0.0000 0.0000 0.5000
Sb1 Sb 0.3333 0.6667 0.7458

(4)
# GGA-PBE NaLiNdSn, relaxed
# Total DFT energy (no corrections), eV/cell: -53.09
# Theoretical density, kg/m³: 4715
# E_form, meV/atom: -317
# V, Å³/cell: 413
data_NaLiNdSn
_chemical_formula_sum 'Na4 Li4 Nd4 Sn4'
_space_group_name_H-M_alt 'F -4 3 m'
_space_group_IT_number 216
_space_group_name_Hall 'F -4 2 3'
_cell_length_a 7.444
_cell_length_b 7.444
_cell_length_c 7.444
_cell_angle_alpha 90.00
_cell_angle_beta 90.00
_cell_angle_gamma 90.00
loop_
_atom_site_label
_atom_site_type_symbol
_atom_site_fract_x
_atom_site_fract_y
_atom_site_fract_z
Na1 Na 0.000 0.000 0.000
Li1 Li 0.250 0.250 0.750
Nd1 Nd 0.250 0.250 0.250
Sn1 Sn 0.000 0.000 0.500

(5)
# GGA-PBE NaLiNd2Tl4, relaxed
# Total DFT energy (no corrections), eV/cell: -73.89
# Theoretical density, kg/m³: 8658
# E_form, meV/atom: -300
# V, Å³/cell: 654
data_NaLiNd2Tl4
_chemical_formula_sum 'Na3 Li3 Nd6 Tl12'
_space_group_name_H-M_alt 'R -3 m'
_space_group_IT_number 166
_space_group_name_Hall '-R 3 2"'
_cell_length_a 5.3697
_cell_length_b 5.3697
_cell_length_c 26.1736
_cell_angle_alpha 90.00
_cell_angle_beta 90.00
_cell_angle_gamma 120.00
loop_
_atom_site_label
_atom_site_type_symbol
_atom_site_fract_x
_atom_site_fract_y
_atom_site_fract_z
Na1 Na 0.0000 0.0000 0.0000
Li1 Li 0.0000 0.0000 0.5000
Nd1 Nd 0.0000 0.0000 0.2498
Tl1 Tl 0.0000 0.0000 0.1260
Tl2 Tl 0.0000 0.0000 0.3772

(6)
# GGA-PBE NaLiNdTl, relaxed
# Total DFT energy (no corrections), eV/cell: -43.68
# Theoretical density, kg/m³: 6064
# E_form, meV/atom: -138
# V, Å³/cell: 415
data_NaLiNdTl
_chemical_formula_sum 'Na4 Li4 Nd4 Tl4'
_space_group_name_H-M_alt 'F -4 3 m'
_space_group_IT_number 216
_space_group_name_Hall 'F -4 2 3'
_cell_length_a 7.457
_cell_length_b 7.457
_cell_length_c 7.457
_cell_angle_alpha 90.00
_cell_angle_beta 90.00
_cell_angle_gamma 90.00
loop_
_atom_site_label
_atom_site_type_symbol
_atom_site_fract_x
_atom_site_fract_y
_atom_site_fract_z
Na1 Na 0.000 0.000 0.000
Li1 Li 0.250 0.250 0.750
Nd1 Nd 0.250 0.250 0.250
Tl1 Tl 0.000 0.000 0.500

(7)
# GGA-PBE NaLiNdZn, relaxed
# Total DFT energy (no corrections), eV/cell: -36.41
# Theoretical density, kg/m³: 4088
# E_form, meV/atom: 43
# V, Å³/cell: 389
data_NaLiNdZn
_chemical_formula_sum 'Na4 Li4 Nd4 Zn4'
_space_group_name_H-M_alt 'F -4 3 m'
_space_group_IT_number 216
_space_group_name_Hall 'F -4 2 3'
_cell_length_a 7.302
_cell_length_b 7.302
_cell_length_c 7.302
_cell_angle_alpha 90.00
_cell_angle_beta 90.00
_cell_angle_gamma 90.00
loop_
_atom_site_label
_atom_site_type_symbol
_atom_site_fract_x
_atom_site_fract_y
_atom_site_fract_z
Na1 Na 0.000 0.000 0.000
Li1 Li 0.250 0.250 0.250
Nd1 Nd 0.000 0.000 0.500
Zn1 Zn 0.250 0.250 0.750

(8)
# GGA-PBE NaLiNi3, relaxed
# Total DFT energy (no corrections), eV/cell: -16.48
# Excess energy over the best structure of this formula in the dataset, eV/atom: 0.0000
# Theoretical density, kg/m³: 4774
# E_form, meV/atom: 819
# V, Å³/cell: 72
data_NaLiNi3
_chemical_formula_sum 'Na1 Li1 Ni3'
_space_group_name_H-M_alt 'P m -3 m'
_space_group_IT_number 221
_space_group_name_Hall '-P 4 2 3'
_cell_length_a 4.154
_cell_length_b 4.154
_cell_length_c 4.154
_cell_angle_alpha 90.00
_cell_angle_beta 90.00
_cell_angle_gamma 90.00
loop_
_atom_site_label
_atom_site_type_symbol
_atom_site_fract_x
_atom_site_fract_y
_atom_site_fract_z
Na1 Na 0.000 0.000 0.000
Li1 Li 0.500 0.500 0.500
Ni1 Ni 0.000 0.500 0.500